# LiSiAg2 (GGA-PBE, relaxed)
data_LiSiAg2
_symmetry_space_group_name_H-M 'P m m 2'
_symmetry_Int_Tables_number 25
_cell_length_a 2.869
_cell_length_b 4.066
_cell_length_c 5.490
_cell_angle_alpha 90.00
_cell_angle_beta 90.00
_cell_angle_gamma 90.00
loop_
_symmetry_equiv_pos_as_xyz
'x,y,z'
'-x,-y,z'
'-x,y,z'
'x,-y,z'
loop_
_atom_site_label
_atom_site_type_symbol
_atom_site_fract_x
_atom_site_fract_y
_atom_site_fract_z
_atom_site_occupancy
Li1 Li 0.000 0.000 0.000 1
Si1 Si 0.500 0.500 0.255 1
Ag1 Ag 0.000 0.000 0.478 1
Ag2 Ag 0.500 0.500 0.771 1
# Uncorrected formation energy = -0.022 eV per atom
# Crystal system = orthorhombic
# Total energy = -3.282 eV/atom

# Li6SiAg12 (GGA-PBE, relaxed)
data_Li6SiAg12
_symmetry_space_group_name_H-M 'R -3'
_symmetry_Int_Tables_number 148
_symmetry_space_group_name_Hall '-R 3'
_cell_length_a 9.6928
_cell_length_b 9.6928
_cell_length_c 11.8427
_cell_angle_alpha 90.00
_cell_angle_beta 90.00
_cell_angle_gamma 120.00
loop_
_atom_site_label
_atom_site_type_symbol
_atom_site_fract_x
_atom_site_fract_y
_atom_site_fract_z
_atom_site_occupancy
Li1 Li 0.0281 0.5951 0.2060 1
Si1 Si 0.0000 0.0000 0.5000 1
Ag1 Ag 0.0253 0.8406 0.3230 1
Ag2 Ag 0.0612 0.2096 0.9083 1
# Uncorrected formation energy = -0.104 eV per atom
# Crystal system = trigonal
# Total energy = -2.794 eV/atom

# LiSiAg2 (GGA-PBE, relaxed)
data_LiSiAg2
_symmetry_space_group_name_H-M 'P 1 m 1'
_symmetry_Int_Tables_number 6
_cell_length_a 2.917
_cell_length_b 4.428
_cell_length_c 5.284
_cell_angle_alpha 90.00
_cell_angle_beta 105.63
_cell_angle_gamma 90.00
loop_
_symmetry_equiv_pos_as_xyz
'x,y,z'
'x,-y,z'
loop_
_atom_site_label
_atom_site_type_symbol
_atom_site_fract_x
_atom_site_fract_y
_atom_site_fract_z
_atom_site_occupancy
Li1 Li 0.000 0.000 0.000 1
Si1 Si 0.600 0.500 0.218 1
Ag1 Ag 0.357 0.500 0.712 1
Ag2 Ag 0.733 0.000 0.464 1
# Uncorrected formation energy = -0.031 eV per atom
# Crystal system = monoclinic
# Total energy = -3.291 eV/atom

Which of these has the highest total energy? Li6SiAg12